## In12Sn3Sb (GGA-PBE)

Data for a relaxed structure of In12Sn3Sb.

POSCAR file:
```
In12Sn3Sb
1.0
-4.935 -0.354 1.152
1.181 -0.458 4.919
-0.796 16.831 1.758
In Sn Sb
12 3 1
direct
0.500 0.500 0.000
0.000 0.500 0.625
0.500 0.000 0.375
0.500 0.000 0.874
0.000 0.500 0.874
0.000 0.500 0.126
0.500 0.000 0.625
0.000 0.500 0.375
0.500 0.500 0.500
0.500 0.500 0.751
0.500 0.000 0.126
0.500 0.500 0.249
0.000 0.000 0.747
0.000 0.000 0.253
0.000 0.000 0.500
0.000 0.000 0.000
```

Computed properties:
Its symmetry is P4/mmm. The value obtained for the uncorrected formation energy is 23 meV/atom. As for the uncorrected energy: -3.039 eV per atom. For the total magnetization, the calculation gives 0.0 μB/f.u.

## Mg2TcAg (GGA-PBE)

Data for a relaxed structure of Mg2TcAg.

POSCAR file:
```
Mg2TcAg
1.0
4.643 0.000 0.000
2.321 4.021 0.000
2.321 1.340 3.791
Mg Tc Ag
2 1 1
direct
0.750 0.750 0.750
0.000 0.000 0.000
0.250 0.250 0.250
0.500 0.500 0.500
```

Computed properties:
Its symmetry is F-43m. As for the uncorrected energy: -3.758 eV per atom. Its energy relative to the lowest polymorph listed for this composition is 257 meV/atom. For the total magnetization, the calculation gives 1.6 μB/f.u.

## LiGeAs (GGA-PBE)

Data for a relaxed structure of LiGeAs.

POSCAR file:
```
LiGeAs
1.0
4.002 0.000 0.000
0.000 4.283 -2.012
0.000 0.345 6.657
As Ge Li
2 2 2
direct
0.250 0.357 0.237
0.750 0.643 0.763
0.250 0.838 0.585
0.750 0.162 0.415
0.250 0.755 0.045
0.750 0.245 0.955
```

Computed properties:
Its symmetry is P2_1/m. As for the uncorrected energy: -3.995 eV per atom. Its energy relative to the lowest polymorph listed for this composition is 0 meV/atom. For the total magnetization, the calculation gives 0.0 μB/f.u.

## SrYHfS2 (GGA-PBE)

Data for a relaxed structure of SrYHfS2.

POSCAR file:
```
SrYHfS2
1.0
-2.445 -1.156 4.271
3.514 -3.473 1.072
2.944 3.818 2.718
Hf Sr S Y
1 1 2 1
direct
0.000 0.000 0.000
0.500 0.500 0.500
0.500 0.000 0.000
0.000 0.500 0.000
0.000 0.000 0.500
```

Computed properties:
Its symmetry is P4/mmm. The value obtained for the uncorrected formation energy is -380 meV/atom. As for the uncorrected energy: -5.651 eV per atom. For the total magnetization, the calculation gives 0.4 μB/f.u.

## ScW2Se (GGA-PBE)

Data for a relaxed structure of ScW2Se.

POSCAR file:
```
ScW2Se
1.0
-0.888 -7.921 -1.822
1.791 -7.977 0.102
-1.215 -7.953 1.460
Sc W Se
1 2 1
direct
0.497 0.497 0.497
0.258 0.258 0.258
0.999 0.999 0.999
0.746 0.746 0.746
```

Computed properties:
Its symmetry is R3m. The value obtained for the uncorrected formation energy is 90 meV/atom. As for the uncorrected energy: -8.840 eV per atom. For the total magnetization, the calculation gives 0.0 μB/f.u.

## BaOs2RuO8 (GGA-PBE)

Data for a relaxed structure of BaOs2RuO8.

POSCAR file:
```
BaOs2RuO8
1.0
5.457 0.000 0.000
-2.728 4.726 0.000
0.000 0.000 7.481
O Os Ba Ru
8 2 1 1
direct
0.333 0.667 0.966
0.310 0.268 0.333
0.690 0.732 0.667
0.667 0.333 0.034
0.268 0.958 0.667
0.732 0.042 0.333
0.042 0.310 0.667
0.958 0.690 0.333
0.333 0.667 0.723
0.667 0.333 0.277
0.000 0.000 0.000
0.000 0.000 0.500
```

Computed properties:
Its symmetry is P-3. The value obtained for the uncorrected formation energy is -1112 meV/atom. As for the uncorrected energy: -7.222 eV per atom. For the total magnetization, the calculation gives 3.0 μB/f.u.

## ZnGa3Au (GGA-PBE)

Data for a relaxed structure of ZnGa3Au.

POSCAR file:
```
ZnGa3Au
1.0
5.158 0.286 0.657
0.338 6.959 -0.756
0.675 -0.337 5.175
Ga Zn Au
6 2 2
direct
0.535 0.412 0.272
0.506 0.235 0.698
0.559 0.829 0.496
0.552 0.012 0.082
0.039 0.267 0.466
0.041 0.710 0.713
0.042 0.097 0.899
0.083 0.872 0.274
0.035 0.485 0.091
0.539 0.624 0.886
```

Computed properties:
Its symmetry is P1. As for the uncorrected energy: -2.774 eV per atom. Its energy relative to the lowest polymorph listed for this composition is 0 meV/atom. For the total magnetization, the calculation gives 0.0 μB/f.u.

## PbIO2 (GGA-PBE)

Data for a relaxed structure of PbIO2.

POSCAR file:
```
PbIO2
1.0
2.170 0.000 6.703
-1.085 1.879 6.703
-1.085 -1.879 6.703
O Pb I
2 1 1
direct
0.893 0.893 0.893
0.107 0.107 0.107
0.500 0.500 0.500
0.000 0.000 0.000
```

Computed properties:
Its symmetry is R-3m. The value obtained for the uncorrected formation energy is -534 meV/atom. As for the uncorrected energy: -4.328 eV per atom. Its energy relative to the lowest polymorph listed for this composition is 0 meV/atom. For the total magnetization, the calculation gives 0.0 μB/f.u.

## KZn2Re (GGA-PBE)

Data for a relaxed structure of KZn2Re.

POSCAR file:
```
KZn2Re
1.0
2.718 0.008 0.000
-0.753 2.612 0.000
0.000 0.000 10.156
Zn Re K
2 1 1
direct
0.000 0.000 0.996
0.500 0.500 0.212
0.500 0.500 0.788
0.000 0.000 0.504
```

Computed properties:
Its symmetry is Cmm2. As for the uncorrected energy: -3.397 eV per atom. Its energy relative to the lowest polymorph listed for this composition is 139 meV/atom. For the total magnetization, the calculation gives 0.0 μB/f.u.

## Ca3ScCo (GGA-PBE)

Data for a relaxed structure of Ca3ScCo.

POSCAR file:
```
Ca3ScCo
1.0
-4.780 -1.566 1.856
-1.402 -1.567 -4.933
1.983 -4.883 0.987
Sc Ca Co
1 3 1
direct
0.500 0.500 0.500
0.000 0.000 0.500
0.000 0.500 0.000
0.500 0.000 0.000
0.000 0.000 0.000
```

Computed properties:
Its symmetry is Pm-3m. As for the uncorrected energy: -3.514 eV per atom. Its energy relative to the lowest polymorph listed for this composition is 0 meV/atom. For the total magnetization, the calculation gives 0.0 μB/f.u.

## Li2CdSi (GGA-PBE)

Data for a relaxed structure of Li2CdSi.

POSCAR file:
```
Li2CdSi
1.0
-1.650 -2.191 0.398
1.088 -1.222 -2.237
6.084 -3.680 4.969
Si Cd Li
1 1 2
direct
0.500 0.500 0.250
0.500 0.500 0.750
0.000 0.000 0.475
0.000 0.000 0.025
```

Computed properties:
Its symmetry is P4/mmm. The value obtained for the uncorrected formation energy is -145 meV/atom. As for the uncorrected energy: -2.687 eV per atom. For the total magnetization, the calculation gives 0.0 μB/f.u.

## Hf3Ta (GGA-PBE)

Data for a relaxed structure of Hf3Ta.

POSCAR file:
```
Hf3Ta
1.0
-1.886 -1.982 1.321
2.012 -4.074 -3.242
3.432 2.005 4.415
Ta Hf
1 3
direct
0.000 0.033 0.000
0.252 0.566 0.504
0.748 0.062 0.496
0.500 0.506 0.000
```

Computed properties:
Its symmetry is Imm2. As for the uncorrected energy: -10.311 eV per atom. Its energy relative to the lowest polymorph listed for this composition is 0 meV/atom. For the total magnetization, the calculation gives 0.0 μB/f.u.